[1]
DFT (GGA-PBE) results for an optimized crystal structure of ZrTiReMo.

Unit cell a=4.5703 b=4.5703 c=4.5703 alpha=60.00 beta=60.00 gamma=60.00
Last column: nearest neighbours and their distance in Å.
Fractional coordinates of all 4 atoms:
Zr (0.0000, 0.0000, 0.0000)  4 Mo 2.80, 4 Re 2.80
Ti (0.5000, 0.5000, 0.5000)  4 Mo 2.80, 4 Re 2.80
Re (0.2500, 0.2500, 0.2500)  4 Zr 2.80, 4 Ti 2.80
Mo (0.7500, 0.7500, 0.7500)  4 Ti 2.80, 4 Zr 2.80

Values from the calculation:
The total energy is -40.2 eV for the cell shown. The formation energy comes out at -0.114 eV/atom.

[2]
DFT (GGA-PBE) results for an optimized crystal structure of Tl2ReMo.

Unit cell a=9.6204 b=9.6204 c=9.6204 alpha=19.34 beta=19.34 gamma=19.34
Last column: nearest neighbours and their distance in Å.
Fractional coordinates of all 4 atoms:
Tl (0.0000, 0.0000, 0.0000)  3 Re 3.13, 9 Tl 3.23-3.33
Tl (0.2361, 0.2361, 0.2361)  3 Mo 3.14, 9 Tl 3.23-3.33
Re (0.7553, 0.7553, 0.7553)  3 Mo 2.49
Mo (0.4801, 0.4801, 0.4801)  3 Re 2.49

Values from the calculation:
The total energy is -25.8 eV for the cell shown. The formation energy comes out at 0.563 eV/atom. The offset from the most stable computed form comes out at 105 meV/atom.

[3]
DFT (GGA-PBE) results for an optimized crystal structure of Tl2ReMo.

Unit cell a=2.9987 b=2.9987 c=10.3596 alpha=90.00 beta=90.00 gamma=112.28
Last column: nearest neighbours and their distance in Å.
Fractional coordinates of all 4 atoms:
Tl (0.0000, 0.0000, 0.0000)  6 Tl 3.00-3.34, 2 Mo 3.12
Tl (0.5000, 0.5000, 0.3130)  6 Tl 3.00-3.34, 2 Re 3.13
Re (0.0000, 0.0000, 0.5679)  2 Mo 2.48
Mo (0.5000, 0.5000, 0.7454)  2 Re 2.48

Values from the calculation:
The total energy is -25.4 eV for the cell shown. The formation energy comes out at 0.648 eV/atom. The offset from the most stable computed form comes out at 189 meV/atom.

[4]
DFT (GGA-PBE) results for an optimized crystal structure of Tl2ReMo.

Unit cell a=9.5085 b=9.5085 c=9.5085 alpha=18.54 beta=18.54 gamma=18.54
Last column: nearest neighbours and their distance in Å.
Fractional coordinates of all 4 atoms:
Tl (0.2491, 0.2491, 0.2491)  3 Re 2.91, 3 Mo 2.95, 6 Tl 3.06
Tl (0.7509, 0.7509, 0.7509)  3 Re 2.91, 3 Mo 2.95, 6 Tl 3.06
Re (0.5000, 0.5000, 0.5000)  6 Tl 2.91, 6 Re 3.06
Mo (0.0000, 0.0000, 0.0000)  6 Tl 2.95, 6 Mo 3.06

Values from the calculation:
The total energy is -23.9 eV for the cell shown. The formation energy comes out at 1.032 eV/atom. The offset from the most stable computed form comes out at 574 meV/atom.

[5]
DFT (GGA-PBE) results for an optimized crystal structure of TlReMo3.

Unit cell a=4.7848 b=4.7848 c=4.7848 alpha=90.00 beta=90.00 gamma=90.00
Last column: nearest neighbours and their distance in Å.
Fractional coordinates of all 5 atoms:
Tl (0.0000, 0.0000, 0.0000)  12 Mo 3.38
Re (0.5000, 0.5000, 0.5000)  6 Mo 2.39
Mo (0.0000, 0.5000, 0.5000)  2 Re 2.39
Mo (0.5000, 0.0000, 0.5000)  2 Re 2.39
Mo (0.5000, 0.5000, 0.0000)  2 Re 2.39

Values from the calculation:
The total energy is -39.5 eV for the cell shown. The formation energy comes out at 1.563 eV/atom. The offset from the most stable computed form comes out at 0 meV/atom.

[6]
DFT (GGA-PBE) results for an optimized crystal structure of Tl2ReMo.

Unit cell a=4.7894 b=4.7894 c=4.7894 alpha=60.00 beta=60.00 gamma=60.00
Last column: nearest neighbours and their distance in Å.
Fractional coordinates of all 4 atoms:
Tl (0.0000, 0.0000, 0.0000)  4 Re 2.93, 4 Tl 2.93
Tl (0.2500, 0.2500, 0.2500)  4 Mo 2.93, 4 Tl 2.93
Re (0.7500, 0.7500, 0.7500)  4 Mo 2.93, 4 Tl 2.93
Mo (0.5000, 0.5000, 0.5000)  4 Re 2.93, 4 Tl 2.93

Values from the calculation:
The total energy is -23.4 eV for the cell shown. The formation energy comes out at 1.164 eV/atom. The offset from the most stable computed form comes out at 706 meV/atom.